## Dy3CuSnSe7 (PBE-GGA)

Data for crystalline Dy3CuSnSe7 at its relaxed geometry.

Geometry as CIF:
```
data_Dy3CuSnSe7
_chemical_formula_sum 'Dy6 Cu2 Sn2 Se14'
_space_group_name_H-M_alt 'P 63'
_space_group_IT_number 173
_space_group_name_Hall 'P 6c'
_cell_length_a 10.2186
_cell_length_b 10.2186
_cell_length_c 6.5055
_cell_angle_alpha 90.00
_cell_angle_beta 90.00
_cell_angle_gamma 120.00
loop_
_atom_site_label
_atom_site_fract_x
_atom_site_fract_y
_atom_site_fract_z
Dy1 0.1544 0.7967 0.0000
Cu1 0.0000 0.0000 0.1046
Sn1 0.3333 0.6667 0.4284
Se1 0.0778 0.5200 0.2453
Se2 0.1188 0.8535 0.5747
Se3 0.3333 0.6667 0.8211
```

Results
E, eV per atom: -5.09

## MoPt2W (PBE-GGA)

Data for crystalline MoPt2W at its relaxed geometry.

Geometry as CIF:
```
data_MoPt2W
_chemical_formula_sum 'Mo1 Pt2 W1'
_space_group_name_H-M_alt 'P m m 2'
_space_group_IT_number 25
_space_group_name_Hall 'P 2 -2'
_cell_length_a 2.760
_cell_length_b 4.502
_cell_length_c 4.953
_cell_angle_alpha 90.00
_cell_angle_beta 90.00
_cell_angle_gamma 90.00
loop_
_atom_site_label
_atom_site_fract_x
_atom_site_fract_y
_atom_site_fract_z
Mo1 0.000 0.000 0.000
Pt1 0.500 0.000 0.500
Pt2 0.500 0.500 0.830
W1 0.000 0.500 0.328
```

Results
E, eV per atom: -9.26
E_form, eV/atom: -0.284
Energy relative to the lowest polymorph listed for this composition, meV/atom: 0

## NaFeCoS3 (PBE-GGA)

Data for crystalline NaFeCoS3 at its relaxed geometry.

Geometry as CIF:
```
data_NaFeCoS3
_chemical_formula_sum 'Na2 Fe2 Co2 S6'
_space_group_name_H-M_alt 'P 1 21/m 1'
_space_group_IT_number 11
_space_group_name_Hall '-P 2yb'
_cell_length_a 7.096
_cell_length_b 3.404
_cell_length_c 8.815
_cell_angle_alpha 90.00
_cell_angle_beta 111.95
_cell_angle_gamma 90.00
loop_
_atom_site_label
_atom_site_fract_x
_atom_site_fract_y
_atom_site_fract_z
Na1 0.240 0.250 0.225
Fe1 0.413 0.250 0.889
Co1 0.187 0.750 0.655
S1 0.043 0.750 0.375
S2 0.265 0.750 0.947
S3 0.397 0.250 0.641
```

Results
E, eV per atom: -5.39

## AcPmPr (PBE-GGA)

Data for crystalline AcPmPr at its relaxed geometry.

Geometry as CIF:
```
data_AcPmPr
_chemical_formula_sum 'Ac4 Pm4 Pr4'
_space_group_name_H-M_alt 'F -4 3 m'
_space_group_IT_number 216
_space_group_name_Hall 'F -4 2 3'
_cell_length_a 8.075
_cell_length_b 8.075
_cell_length_c 8.075
_cell_angle_alpha 90.00
_cell_angle_beta 90.00
_cell_angle_gamma 90.00
loop_
_atom_site_label
_atom_site_fract_x
_atom_site_fract_y
_atom_site_fract_z
Ac1 0.000 0.000 0.000
Pm1 0.000 0.000 0.500
Pr1 0.250 0.250 0.250
```

Results
E, eV per atom: -3.88
E_form, eV/atom: 0.666
Energy relative to the lowest polymorph listed for this composition, meV/atom: 16

## Dy2Tm3Lu2Ni2Te2 (PBE-GGA)

Data for crystalline Dy2Tm3Lu2Ni2Te2 at its relaxed geometry.

Geometry as CIF:
```
data_Dy2Tm3Lu2Ni2Te2
_chemical_formula_sum 'Dy4 Tm6 Lu4 Ni4 Te4'
_space_group_name_H-M_alt 'I m m 2'
_space_group_IT_number 44
_space_group_name_Hall 'I 2 -2'
_cell_length_a 3.803
_cell_length_b 15.372
_cell_length_c 9.463
_cell_angle_alpha 90.00
_cell_angle_beta 90.00
_cell_angle_gamma 90.00
loop_
_atom_site_label
_atom_site_fract_x
_atom_site_fract_y
_atom_site_fract_z
Dy1 0.000 0.185 0.000
Tm1 0.000 0.146 0.351
Tm2 0.000 0.500 0.623
Lu1 0.000 0.366 0.205
Ni1 0.000 0.262 0.695
Te1 0.000 0.000 0.854
Te2 0.000 0.500 0.963
```

Results
E, eV per atom: -5.13
Energy relative to the lowest polymorph listed for this composition, meV/atom: 16

## SrBeAlAu (PBE-GGA)

Data for crystalline SrBeAlAu at its relaxed geometry.

Geometry as CIF:
```
data_SrBeAlAu
_chemical_formula_sum 'Sr4 Be4 Al4 Au4'
_space_group_name_H-M_alt 'F -4 3 m'
_space_group_IT_number 216
_space_group_name_Hall 'F -4 2 3'
_cell_length_a 6.877
_cell_length_b 6.877
_cell_length_c 6.877
_cell_angle_alpha 90.00
_cell_angle_beta 90.00
_cell_angle_gamma 90.00
loop_
_atom_site_label
_atom_site_fract_x
_atom_site_fract_y
_atom_site_fract_z
Sr1 0.000 0.000 0.000
Be1 0.250 0.250 0.750
Al1 0.000 0.000 0.500
Au1 0.250 0.250 0.250
```

Results
E, eV per atom: -3.07
Energy relative to the lowest polymorph listed for this composition, meV/atom: 0

## LaDyFe2Ge2C (PBE-GGA)

Data for crystalline LaDyFe2Ge2C at its relaxed geometry.

Geometry as CIF:
```
data_LaDyFe2Ge2C
_chemical_formula_sum 'La2 Dy2 Fe4 Ge4 C2'
_space_group_name_H-M_alt 'C 1 m 1'
_space_group_IT_number 8
_space_group_name_Hall 'C -2y'
_cell_length_a 10.917
_cell_length_b 4.053
_cell_length_c 7.030
_cell_angle_alpha 90.00
_cell_angle_beta 129.25
_cell_angle_gamma 90.00
loop_
_atom_site_label
_atom_site_fract_x
_atom_site_fract_y
_atom_site_fract_z
La1 0.000 0.000 0.000
Dy1 0.114 0.000 0.580
Fe1 0.254 0.500 0.384
Fe2 0.368 0.000 0.213
Ge1 0.228 0.500 0.017
Ge2 0.391 0.000 0.571
C1 0.064 0.500 0.311
```

Results
E, eV per atom: -6.94

## GdErAg2O4 (PBE-GGA)

Data for crystalline GdErAg2O4 at its relaxed geometry.

Geometry as CIF:
```
data_GdErAg2O4
_chemical_formula_sum 'Gd1 Er1 Ag2 O4'
_space_group_name_H-M_alt 'P -3 m 1'
_space_group_IT_number 164
_space_group_name_Hall '-P 3 2"'
_cell_length_a 3.4929
_cell_length_b 3.4929
_cell_length_c 12.4784
_cell_angle_alpha 90.00
_cell_angle_beta 90.00
_cell_angle_gamma 120.00
loop_
_atom_site_label
_atom_site_fract_x
_atom_site_fract_y
_atom_site_fract_z
Gd1 0.0000 0.0000 0.0000
Er1 0.0000 0.0000 0.5000
Ag1 0.3333 0.6667 0.7477
O1 0.3333 0.6667 0.5820
O2 0.3333 0.6667 0.9133
```

Results
E, eV per atom: -6.61